{"formula": "TiZnNiCl", "functional": "PBE", "state": "optimized geometry", "lattice_angstrom": [[2.7154, -1.5944, 0.0000], [2.7154, 1.5944, 0.0000], [-0.0668, 0.0000, 8.2110]], "species": ["Ti", "Zn", "Ni", "Cl"], "frac_coords": [[0.0000, 0.0000, 0.0000], [0.6717, 0.6717, 0.5923], [0.3395, 0.3395, 0.7999], [0.6689, 0.6689, 0.2047]], "m_tot_mub_per_cell": 0.0, "spacegroup": "No. 8", "relative_energy_mev_per_atom": 94.0}

***

{"formula": "LiCd4Ni", "functional": "PBE", "state": "optimized geometry", "lattice_angstrom": [[6.8577, -3.5332, 0.0000], [6.8577, 3.5332, 0.0000], [-1.9579, 0.0000, 4.8965]], "species": ["Li", "Li", "Cd", "Cd", "Cd", "Cd", "Cd", "Cd", "Cd", "Cd", "Ni", "Ni"], "frac_coords": [[0.2010, 0.2010, 0.2001], [0.7990, 0.7990, 0.7999], [0.1049, 0.6421, 0.3766], [0.1938, 0.8062, 0.0000], [0.3195, 0.3195, 0.8207], [0.3579, 0.8951, 0.6234], [0.6421, 0.1049, 0.3766], [0.6805, 0.6805, 0.1793], [0.8062, 0.1938, 0.0000], [0.8951, 0.3579, 0.6234], [0.4996, 0.4996, 0.2754], [0.5004, 0.5004, 0.7246]], "e_form_mev_per_atom": -85, "m_tot_mub_per_cell": 0.0, "spacegroup": "No. 12", "relative_energy_mev_per_atom": 0.0}

***

{"formula": "Pu2Hg2C", "functional": "PBE", "state": "optimized geometry", "lattice_angstrom": [[1.7269, 0.9970, 10.8555], [-1.7269, 0.9970, 10.8555], [0.0000, -1.9941, 10.8555]], "species": ["Pu", "Pu", "Hg", "Hg", "C"], "frac_coords": [[0.1226, 0.1226, 0.1226], [0.8774, 0.8774, 0.8774], [0.3724, 0.3724, 0.3724], [0.6276, 0.6276, 0.6276], [0.5000, 0.5000, 0.5000]], "e_form_mev_per_atom": -87, "m_tot_mub_per_cell": 10.9, "spacegroup": "No. 166"}